[1]
Material: BaTaNi
Method: DFT, SCAN
State: single point on PBEsol structure

Values from the calculation:
Energy above the lowest structure with this stoichiometry, meV/atom: 943.9
ΔE_f, eV per atom: 1.401

abc: 6.611 6.611 6.611
angles: 90.00 90.00 90.00
Space group F-43m (No. 216)
One atom of each set of equivalent atoms:
Ba: 0.000 0.000 0.000
Ta: 0.000 0.000 0.500
Ni: 0.250 0.250 0.750

---

[2]
Material: Li2CdOs
Method: DFT, SCAN
State: single point on PBEsol structure

Values from the calculation:
ΔE_f, eV per atom: 0.683

abc: 6.789 6.789 5.314
angles: 90.00 90.00 90.00
Space group I-42d (No. 122)
One atom of each set of equivalent atoms:
Li: 0.247 0.750 0.125
Cd: 0.000 0.000 0.500
Os: 0.000 0.000 0.000